# RbPu2VO8 (PBE+U, optimized geometry)
data_RbPu2VO8
_chemical_formula_sum 'Rb1 Pu2 V1 O8'
_symmetry_space_group_name_H-M 'P 1'
_symmetry_Int_Tables_number 1
_symmetry_space_group_name_Hall 'P 1'
_cell_length_a 6.026
_cell_length_b 6.026
_cell_length_c 7.471
_cell_angle_alpha 90.00
_cell_angle_beta 90.00
_cell_angle_gamma 120.00
loop_
_atom_site_label
_atom_site_fract_x
_atom_site_fract_y
_atom_site_fract_z
Rb1 0.000 0.000 0.500
Pu1 0.333 0.667 0.754
Pu2 0.667 0.333 0.246
O1 0.703 0.852 0.852
O2 0.333 0.667 0.502
O3 0.852 0.148 0.148
O4 0.148 0.852 0.852
O5 0.297 0.148 0.148
O6 0.852 0.703 0.148
O7 0.148 0.297 0.852
O8 0.667 0.333 0.498
V1 0.000 0.000 0.000
# Space-group type ... P-3m1
# V ... 19.58 A^3/atom
# E ... -100.964 eV per cell